Below is crystalline Tl3Ag at its relaxed geometry, with properties calculated at the PBE-GGA level.

Values from the calculation:
* SG: P2/m, No. 10
* total magnetization: 0.0 μB/f.u.
* energy relative to the lowest polymorph listed for this composition: 43.5 meV/atom
* raw total energy: -2.373 eV per atom

Cell and atoms, written as extended XYZ:
```
4
Lattice="4.926 0.000 0.000 0.000 3.533 0.129 0.000 1.911 6.377" Properties=species:S:1:pos:R:3 pbc="T T T"
Tl 2.463 4.458 5.005
Tl 0.000 2.722 3.253
Tl 2.463 0.986 1.502
Ag 0.000 0.000 0.000
```